No. 1
Below is crystalline SmSO4 at its relaxed geometry, with properties calculated at the GGA-PBE level.

a = 8.3858 Å, b = 5.5084 Å, c = 6.7813 Å
α = 90.00°, β = 90.00°, γ = 90.00°
With the nearest neighbours (Å) after each atom.
Space group Pnma (No. 62)
Asymmetric unit:
Sm1 0.1390 0.2500 0.1058 (multiplicity 4)  6 O 2.45-2.59
S1 0.0493 0.2500 0.6485 (multiplicity 4)  4 O 1.47-1.53
O1 0.0899 0.0299 0.7770 (multiplicity 8)  1 S 1.53
O2 0.1215 0.7500 0.3993 (multiplicity 4)  1 S 1.47
O3 0.1509 0.2500 0.4713 (multiplicity 4)  1 S 1.47

- Raw total energy: -6.571 eV/atom
- Total moment: 0.00 μB per formula unit
- Formation energy (no corrections): -10.75 eV/f.u.


No. 2
Below is crystalline Sm3SO3 at its relaxed geometry, with properties calculated at the GGA-PBE level.

a = 6.7660 Å, b = 6.7660 Å, c = 20.1384 Å
α = 90.00°, β = 90.00°, γ = 120.00°
With the nearest neighbours (Å) after each atom.
Space group R-3 (No. 148, hexagonal axes)
Asymmetric unit:
Sm1 0.9995 0.3334 0.0931 (multiplicity 18)  4 O 2.32-2.37
S1 0.0000 0.0000 0.3333 (multiplicity 6)  6 Sm 2.93-2.94
O1 0.0010 0.6696 0.1227 (multiplicity 18)  4 Sm 2.32-2.37

- Raw total energy: -7.762 eV/atom
- Total moment: 0.00 μB per formula unit
- Formation energy (no corrections): -21.17 eV/f.u.


No. 3
Below is crystalline SmSO4 at its relaxed geometry, with properties calculated at the GGA-PBE level.

a = 6.5536 Å, b = 7.5289 Å, c = 8.9642 Å
α = 90.00°, β = 131.01°, γ = 90.00°
With the nearest neighbours (Å) after each atom.
Space group P2_1/c (No. 14)
Asymmetric unit:
Sm1 0.0846 0.0614 0.3176 (multiplicity 4)  5 O 2.32-2.58
S1 0.4003 0.7141 0.6878 (multiplicity 4)  4 O 1.47-1.52
O1 0.2202 0.6244 0.1208 (multiplicity 4)  1 S 1.52
O2 0.2583 0.5858 0.5218 (multiplicity 4)  1 S 1.48
O3 0.3351 0.2365 0.2473 (multiplicity 4)  1 S 1.47
O4 0.4445 0.6314 0.8592 (multiplicity 4)  1 S 1.50

- Raw total energy: -6.675 eV/atom
- Total moment: 0.00 μB per formula unit
- Formation energy (no corrections): -11.37 eV/f.u.